The following is a DFT calculation (PBE) of an optimized crystal structure of LuBeTcW.

Summary:
The value obtained for the total energy is -7.23 eV per atom. As for the total moment: 0.79 μB/cell.

```
data_LuBeTcW
_chemical_formula_sum 'Lu1 Be1 Tc1 W1'
_space_group_name_H-M_alt 'P 1'
_space_group_IT_number 1
_space_group_name_Hall 'P 1'
_cell_length_a 4.456
_cell_length_b 4.456
_cell_length_c 4.456
_cell_angle_alpha 60.00
_cell_angle_beta 60.00
_cell_angle_gamma 60.00
loop_
_atom_site_label
_atom_site_type_symbol
_atom_site_fract_x
_atom_site_fract_y
_atom_site_fract_z
W1 W 0.000 0.000 0.000
Be1 Be 0.750 0.750 0.750
Tc1 Tc 0.500 0.500 0.500
Lu1 Lu 0.250 0.250 0.250
```